Compound: Cu2PtS2
Source: Alexandria
Functional: GGA-PBEsol
Structure: relaxed

Structure (extended XYZ):
```
5
Lattice="-3.008 0.267 -1.510 1.452 -0.572 -2.993 -0.136 -6.004 2.985" Properties=species:S:1:pos:R:3 pbc="T T T"
S -0.990 -1.584 -2.081
S -0.702 -4.726 0.563
Cu -1.961 -2.945 -0.388
Cu 0.269 -3.365 -1.130
Pt 0.000 0.000 0.000
```

Properties
- Calculated density: 9.0 g/cm³
- Formation energy from raw total energies: 0.3344 eV/atom
- SG: No. 139
- E_tot: -4.5456 eV/atom

***

Compound: CuPt2S4
Source: Alexandria
Functional: GGA-PBEsol
Structure: relaxed

Structure (extended XYZ):
```
14
Lattice="6.183 0.014 0.000 -2.695 5.723 0.000 0.000 0.000 6.891" Properties=species:S:1:pos:R:3 pbc="T T T"
S -0.728 4.409 1.840
S -0.728 4.409 5.051
S 1.016 1.266 3.445
S 2.472 4.470 3.445
S 0.904 1.416 0.000
S 2.585 4.321 0.000
S 4.216 1.328 1.840
S 4.216 1.328 5.051
Pt 0.000 0.000 5.185
Pt 0.000 0.000 1.705
Pt 3.092 0.007 3.445
Pt -1.348 2.862 3.445
Cu 0.363 3.688 0.000
Cu 3.125 2.049 0.000
```

Properties
- Calculated density: 7.9 g/cm³
- Formation energy from raw total energies: -0.3924 eV/atom
- SG: No. 10
- E_tot: -5.5063 eV/atom

***

Compound: CuSb2Pt2
Source: Alexandria
Functional: GGA-PBEsol
Structure: relaxed

Structure (extended XYZ):
```
5
Lattice="3.777 0.000 0.000 0.000 3.777 0.000 -1.889 -1.889 7.088" Properties=species:S:1:pos:R:3 pbc="T T T"
Cu 0.000 0.000 0.000
Pt 0.000 1.889 3.544
Pt 1.889 0.000 3.544
Sb 1.889 1.889 1.579
Sb 0.000 0.000 5.509
```

Properties
- Calculated density: 11.4 g/cm³
- Formation energy from raw total energies: 0.1028 eV/atom
- SG: No. 139
- E_tot: -5.3724 eV/atom

***

Compound: Cu2SbPt2
Source: Alexandria
Functional: GGA-PBEsol
Structure: relaxed

Structure (extended XYZ):
```
5
Lattice="-1.577 -2.785 1.352 0.442 -1.704 -2.995 6.399 -0.014 2.968" Properties=species:S:1:pos:R:3 pbc="T T T"
Cu 3.137 -1.982 -0.424
Cu 2.128 -2.522 1.749
Pt 4.592 -1.779 1.690
Pt 0.673 -2.725 -0.365
Sb 0.000 0.000 0.000
```

Properties
- Calculated density: 13.3 g/cm³
- Formation energy from raw total energies: 0.0003 eV/atom
- SG: No. 139
- E_tot: -5.4303 eV/atom

***

> Which formula does entry 4 have?

Cu2SbPt2